VASP calculation (GGA-PBE) on a relaxed structure of Np2Tl2S7.

abc: 4.073 15.691 8.917
angles: 90.00 90.00 90.00
Space group Imm2 (No. 44)
One atom of each set of equivalent atoms:
Np: 0.000 0.000 0.000 (multiplicity 2)
Np: 0.000 0.500 0.007 (multiplicity 2)
Tl: 0.000 0.290 0.756 (multiplicity 4)
S: 0.000 0.106 0.499 (multiplicity 4)
S: 0.000 0.161 0.036 (multiplicity 4)
S: 0.000 0.434 0.312 (multiplicity 4)
S: 0.000 0.500 0.702 (multiplicity 2)

Properties
Raw total energy ... -6.146 eV per atom
Magnetization ... 4.07 μB/f.u.
Mass density ... 6.45 g cm⁻³
ΔE_f (raw) ... -8.10 eV/f.u.